## La2NdSmTh (PBE)

Data for a geometry-optimized La2NdSmTh structure.

Structure (POSCAR):
```
La2NdSmTh
1.0
5.967 0.000 0.000
0.000 6.310 0.990
0.000 1.738 9.680
La Nd Sm Th
4 2 2 2
Direct
0.750 0.752 0.817
0.250 0.248 0.183
0.250 0.025 0.610
0.750 0.975 0.390
0.750 0.372 0.605
0.250 0.628 0.395
0.750 0.572 0.192
0.250 0.428 0.808
0.250 0.852 0.004
0.750 0.148 0.996
```

Calculated values
Calculated volume = 354.2 Å³/cell
Calculated formation energy = 0.3 eV per formula unit


## Mg3ZrS (PBE)

Data for a geometry-optimized Mg3ZrS structure.

Structure (POSCAR):
```
Mg3ZrS
1.0
-0.413 -4.611 -3.252
0.715 -3.277 4.555
-5.596 -0.079 0.822
S Mg Zr
1 3 1
Direct
0.500 0.500 0.500
0.000 0.500 0.000
0.000 0.000 0.500
0.500 0.000 0.000
0.000 0.000 0.000
```

Calculated values
Calculated volume = 181.0 Å³/cell
Relative energy among the computed polymorphs = 1.133 eV/atom
Raw formation energy = 1.273 eV per atom


## TiGe3Ir (PBE)

Data for a geometry-optimized TiGe3Ir structure.

Structure (POSCAR):
```
TiGe3Ir
1.0
4.785 0.000 0.000
0.000 4.785 0.000
0.000 0.000 4.785
Ge Ir Ti
3 1 1
Direct
0.000 0.500 0.000
0.000 0.000 0.500
0.500 0.000 0.000
0.000 0.000 0.000
0.500 0.500 0.500
```

Calculated values
Calculated volume = 109.6 Å³/cell
Calculated formation energy = 3.3 eV per formula unit


## Ti2BeGaH (PBE)

Data for a geometry-optimized Ti2BeGaH structure.

Structure (POSCAR):
```
Ti2BeGaH
1.0
-2.663 1.654 2.281
-0.069 -3.266 2.287
2.817 1.488 2.210
Be H Ga Ti
1 1 1 2
Direct
0.500 0.500 0.500
0.000 0.000 0.000
0.000 0.500 0.000
0.000 0.000 0.500
0.500 0.000 0.000
```

Calculated values
Calculated volume = 59.9 Å³/cell
Relative energy among the computed polymorphs = 0.151 eV/atom


## PmMn5Ge3 (PBE)

Data for a geometry-optimized PmMn5Ge3 structure.

Structure (POSCAR):
```
PmMn5Ge3
1.0
-0.420 0.553 3.806
-5.093 -3.499 -2.020
6.002 -9.951 2.106
Pm Mn Ge
2 10 6
Direct
0.835 0.669 0.750
0.165 0.331 0.250
0.809 0.618 0.449
0.191 0.382 0.949
0.000 0.000 0.500
0.000 0.000 0.000
0.433 0.866 0.137
0.567 0.134 0.863
0.567 0.134 0.637
0.809 0.618 0.051
0.191 0.382 0.551
0.433 0.866 0.363
0.383 0.766 0.937
0.879 0.758 0.250
0.383 0.766 0.563
0.617 0.234 0.437
0.121 0.242 0.750
0.617 0.234 0.063
```

Calculated values
Calculated volume = 283.6 Å³/cell
Calculated formation energy = -1.8 eV per formula unit


## BaSi2Sn2 (PBE)

Data for a geometry-optimized BaSi2Sn2 structure.

Structure (POSCAR):
```
BaSi2Sn2
1.0
-0.775 -7.544 -3.255
-3.033 -2.776 7.156
-3.733 0.913 -1.228
Si Ba Sn
4 2 4
Direct
0.394 0.894 0.000
0.894 0.606 0.000
0.606 0.106 0.000
0.106 0.394 0.000
0.000 0.000 0.000
0.500 0.500 0.000
0.146 0.646 0.500
0.646 0.854 0.500
0.854 0.354 0.500
0.354 0.146 0.500
```

Calculated values
Calculated volume = 274.8 Å³/cell
Relative energy among the computed polymorphs = 0.044 eV/atom
Raw formation energy = -0.064 eV per atom


## DyTi2MnN4 (PBE)

Data for a geometry-optimized DyTi2MnN4 structure.

Structure (POSCAR):
```
DyTi2MnN4
1.0
-1.903 0.546 2.403
-2.297 -4.091 -2.906
5.228 -7.007 5.732
Dy Ti Mn N
2 4 2 8
Direct
0.108 0.216 0.750
0.892 0.784 0.250
0.370 0.740 0.543
0.630 0.260 0.043
0.630 0.260 0.457
0.370 0.740 0.957
0.845 0.690 0.750
0.155 0.310 0.250
0.268 0.536 0.115
0.732 0.464 0.615
0.732 0.464 0.885
0.268 0.536 0.385
0.000 0.000 0.500
0.000 0.000 0.000
0.437 0.875 0.750
0.563 0.125 0.250
```

Calculated values
Calculated volume = 172.4 Å³/cell
Raw formation energy = -1.271 eV per atom


## YReHg2 (PBE)

Data for a geometry-optimized YReHg2 structure.

Structure (POSCAR):
```
YReHg2
1.0
3.019 0.000 0.000
0.000 4.407 0.000
0.000 0.000 6.144
Hg Re Y
2 1 1
Direct
0.000 0.000 0.019
0.000 0.000 0.481
0.500 0.500 0.250
0.500 0.500 0.750
```

Calculated values
Calculated volume = 81.7 Å³/cell
Relative energy among the computed polymorphs = 0.060 eV/atom
Calculated formation energy = 1.4 eV per formula unit


## LiSnS (PBE)

Data for a geometry-optimized LiSnS structure.

Structure (POSCAR):
```
LiSnS
1.0
2.697 -3.905 0.000
2.697 3.905 0.000
0.000 0.000 5.957
S Sn Li
2 2 2
Direct
0.814 0.186 0.250
0.186 0.814 0.750
0.500 0.500 0.000
0.500 0.500 0.500
0.141 0.859 0.250
0.859 0.141 0.750
```

Calculated values
Calculated volume = 125.5 Å³/cell
Relative energy among the computed polymorphs = 0.356 eV/atom
Raw formation energy = -0.411 eV per atom


## Sr2AsPdO (PBE)

Data for a geometry-optimized Sr2AsPdO structure.

Structure (POSCAR):
```
Sr2AsPdO
1.0
5.780 0.000 0.000
0.000 4.496 0.000
0.000 0.000 5.780
Sr As O Pd
2 1 1 1
Direct
0.000 0.000 0.500
0.500 0.000 0.000
0.000 0.500 0.000
0.500 0.500 0.500
0.000 0.000 0.000
```

Calculated values
Calculated volume = 150.2 Å³/cell
Raw formation energy = -0.547 eV per atom